LaTb5Tm2Sc | PBE | optimized geometry

Symmetry: Cmc2_1

a = 10.2642 Å, b = 10.2642 Å, c = 10.3494 Å
α = 90.00°, β = 90.00°, γ = 148.43°
With the nearest neighbours (Å) after each atom.
Fractional coordinates of all 18 atoms:
La: 0.0855 0.9145 0.5000  5 Tb 3.01-3.26
La: 0.9145 0.0855 0.0000  5 Tb 3.01-3.26
Tb: 0.0185 0.9815 0.7877  2 La 3.01-3.26
Tb: 0.1233 0.8767 0.0696  4 Tm 3.52-3.56, 1 Sc 3.57, 6 Tb 3.58-3.95
Tb: 0.2025 0.7975 0.7553  4 Tb 3.37-3.65, 3 Sc 3.43-3.76, 3 Tm 3.50-3.63, 1 La 3.51
Tb: 0.2231 0.7769 0.3709  1 La 3.03, 1 Tm 3.26, 2 Tb 3.37
Tb: 0.4821 0.5179 0.0694  2 La 3.18, 3 Tm 3.34-3.52, 1 Sc 3.52
Tb: 0.5179 0.4821 0.5694  2 La 3.18, 3 Tm 3.34-3.52, 1 Sc 3.52
Tb: 0.7769 0.2231 0.8709  1 La 3.03, 1 Tm 3.26, 2 Tb 3.37
Tb: 0.7975 0.2025 0.2553  4 Tb 3.37-3.65, 3 Sc 3.43-3.76, 3 Tm 3.50-3.63, 1 La 3.51
Tb: 0.8767 0.1233 0.5696  4 Tm 3.52-3.56, 1 Sc 3.57, 6 Tb 3.58-3.95
Tb: 0.9815 0.0185 0.2877  2 La 3.01-3.26
Tm: 0.3857 0.6143 0.7831  1 Sc 3.32, 7 Tb 3.42-3.64, 2 La 3.63
Tm: 0.3882 0.6118 0.3628  9 Tb 3.26-3.56, 1 Sc 3.52
Tm: 0.6118 0.3882 0.8628  9 Tb 3.26-3.56, 1 Sc 3.52
Tm: 0.6143 0.3857 0.2831  1 Sc 3.32, 7 Tb 3.42-3.64, 2 La 3.63
Sc: 0.3039 0.6961 0.0629  2 Tm 3.32-3.52, 7 Tb 3.43-3.57, 2 La 3.60
Sc: 0.6961 0.3039 0.5629  2 Tm 3.32-3.52, 7 Tb 3.43-3.57, 2 La 3.60

LaTb6Tm3Sc2 | PBE | optimized geometry

Symmetry: C2/m

a = 6.0763 Å, b = 6.0763 Å, c = 11.6319 Å
α = 94.97°, β = 94.97°, γ = 119.97°
With the nearest neighbours (Å) after each atom.
Fractional coordinates of all 12 atoms:
La: 0.0000 0.0000 0.0000  6 Sc 3.51, 6 Tb 3.51-3.52
Tb: 0.0839 0.4206 0.2494  6 Tb 3.49-3.55, 2 Sc 3.49-3.50, 3 Tm 3.50-3.52, 1 La 3.52
Tb: 0.2530 0.2530 0.7502  6 Tb 3.49-3.55, 3 Tm 3.50-3.52, 2 Sc 3.50, 1 La 3.51
Tb: 0.4206 0.0839 0.2494  6 Tb 3.49-3.55, 2 Sc 3.49-3.50, 3 Tm 3.50-3.52, 1 La 3.52
Tb: 0.5794 0.9161 0.7506  6 Tb 3.49-3.55, 2 Sc 3.49-3.50, 3 Tm 3.50-3.52, 1 La 3.52
Tb: 0.7470 0.7470 0.2498  6 Tb 3.49-3.55, 3 Tm 3.50-3.52, 2 Sc 3.50, 1 La 3.51
Tb: 0.9161 0.5794 0.7506  6 Tb 3.49-3.55, 2 Sc 3.49-3.50, 3 Tm 3.50-3.52, 1 La 3.52
Tm: 0.1674 0.8326 0.5000  6 Tb 3.50-3.52, 6 Tm 3.50-3.52
Tm: 0.5000 0.5000 0.5000  6 Tb 3.50-3.52, 6 Tm 3.50-3.51
Tm: 0.8326 0.1674 0.5000  6 Tb 3.50-3.52, 6 Tm 3.50-3.52
Sc: 0.3335 0.6665 0.0000  6 Tb 3.49-3.50, 3 Sc 3.50-3.51, 3 La 3.51
Sc: 0.6665 0.3335 0.0000  6 Tb 3.49-3.50, 3 Sc 3.50-3.51, 3 La 3.51

La6TbTm2Sc | PBE | optimized geometry

Symmetry: C2/m

a = 6.7285 Å, b = 6.7285 Å, c = 8.8067 Å
α = 103.51°, β = 103.51°, γ = 64.16°
With the nearest neighbours (Å) after each atom.
Fractional coordinates of all 10 atoms:
La: 0.1040 0.5475 0.2038  1 La 3.17, 1 Sc 3.23, 2 Tm 3.30-3.48
La: 0.1373 0.1373 0.4334  5 La 3.63-3.69, 1 Tb 3.70, 1 Tm 3.95, 3 Sc 4.01
La: 0.4525 0.8960 0.7962  1 La 3.17, 1 Sc 3.23, 2 Tm 3.30-3.48
La: 0.5475 0.1040 0.2038  1 La 3.17, 1 Sc 3.23, 2 Tm 3.30-3.48
La: 0.8627 0.8627 0.5666  5 La 3.63-3.69, 1 Tb 3.70, 1 Tm 3.95, 3 Sc 4.01
La: 0.8960 0.4525 0.7962  1 La 3.17, 1 Sc 3.23, 2 Tm 3.30-3.48
Tb: 0.0000 0.0000 0.0000  10 La 3.62-3.98, 4 Tm 3.92
Tm: 0.4097 0.4097 0.8239  1 Tm 3.22, 1 Sc 3.29, 4 La 3.30-3.48
Tm: 0.5903 0.5903 0.1761  1 Tm 3.22, 1 Sc 3.29, 4 La 3.30-3.48
Sc: 0.5000 0.5000 0.5000  4 La 3.23, 2 Tm 3.29

| no. | electronic total energy (eV per atom) |
| --- | --- |
| 1 | -4.638 |
| 2 | -4.857 |
| 3 | -4.759 |